[1]
A plane-wave DFT calculation with GGA-PBE was carried out for an optimized crystal structure of Cs6SbAu2.

Computed properties:
Its theoretical density is 3.8 Mg/m³. Its final energy is -2.0209 eV/atom. The volume is 63.93 A^3/atom. The calculation puts the energy relative to the elements, uncorrected at -266 meV/atom. Its space-group type is Fmmm.

Structure (CIF):
```
data_Cs6SbAu2
_space_group_name_H-M_alt 'P 1'
_space_group_IT_number 1
_space_group_name_Hall 'P 1'
_cell_length_a 6.5160
_cell_length_b 9.6317
_cell_length_c 10.2730
_cell_angle_alpha 83.84
_cell_angle_beta 71.51
_cell_angle_gamma 70.23
loop_
_atom_site_label
_atom_site_type_symbol
_atom_site_fract_x
_atom_site_fract_y
_atom_site_fract_z
_atom_site_occupancy
Cs1 Cs 0.0561 0.7195 0.1682 1
Cs2 Cs 0.7244 0.7195 0.8318 1
Cs3 Cs 0.2756 0.2805 0.1682 1
Cs4 Cs 0.9439 0.2805 0.8318 1
Cs5 Cs 0.6103 0.2795 0.5000 1
Cs6 Cs 0.3897 0.7205 0.5000 1
Au1 Au 0.6728 0.5000 0.1543 1
Au2 Au 0.3272 0.5000 0.8457 1
Sb1 Sb 0.0000 0.5000 0.5000 1
```

[2]
A plane-wave DFT calculation with GGA-PBE was carried out for an optimized crystal structure of Nd4Sm4Y3.

Computed properties:
Its theoretical density is 6.4 Mg/m³. Its final energy is -5.1989 eV/atom. The volume is 33.87 A^3/atom. Its formation energy is 0.3 kcal/mol of atoms. Its space-group type is P-1. The energy above the lowest structure with this stoichiometry is 0.00 kJ/mol of atoms.

Structure (CIF):
```
data_Nd4Sm4Y3
_space_group_name_H-M_alt 'P 1'
_space_group_IT_number 1
_space_group_name_Hall 'P 1'
_cell_length_a 3.6305
_cell_length_b 5.1430
_cell_length_c 20.2032
_cell_angle_alpha 97.30
_cell_angle_beta 95.18
_cell_angle_gamma 90.04
loop_
_atom_site_label
_atom_site_type_symbol
_atom_site_fract_x
_atom_site_fract_y
_atom_site_fract_z
_atom_site_occupancy
Sm1 Sm 0.2728 0.2730 0.5456 1
Sm2 Sm 0.7271 0.7270 0.4544 1
Sm3 Sm 0.9089 0.9093 0.8180 1
Sm4 Sm 0.0910 0.0907 0.1820 1
Y1 Y 0.0000 0.0000 0.0000 1
Y2 Y 0.3637 0.3642 0.7277 1
Y3 Y 0.6362 0.6358 0.2723 1
Nd1 Nd 0.1816 0.1814 0.3634 1
Nd2 Nd 0.8184 0.8186 0.6366 1
Nd3 Nd 0.5458 0.5457 0.0914 1
Nd4 Nd 0.4542 0.4544 0.9086 1
```

[3]
A plane-wave DFT calculation with GGA-PBE was carried out for an optimized crystal structure of K2PmDySe4.

Computed properties:
Its theoretical density is 4.8 Mg/m³. Its final energy is -4.9457 eV/atom. The volume is 30.33 A^3/atom. The calculation puts the energy relative to the elements, uncorrected at -1760 meV/atom. Its space-group type is P2/m.

Structure (CIF):
```
data_K2PmDySe4
_space_group_name_H-M_alt 'P 1'
_space_group_IT_number 1
_space_group_name_Hall 'P 1'
_cell_length_a 4.2671
_cell_length_b 7.3902
_cell_length_c 8.0781
_cell_angle_alpha 107.74
_cell_angle_beta 90.00
_cell_angle_gamma 90.00
loop_
_atom_site_label
_atom_site_type_symbol
_atom_site_fract_x
_atom_site_fract_y
_atom_site_fract_z
_atom_site_occupancy
K1 K 0.5000 0.0000 0.5000 1
K2 K 0.0000 0.5000 0.5000 1
Dy1 Dy 0.0000 0.0000 0.0000 1
Se1 Se 0.5000 0.7703 0.7940 1
Se2 Se 0.0000 0.2582 0.7914 1
Se3 Se 0.5000 0.2297 0.2060 1
Se4 Se 0.0000 0.7418 0.2086 1
Pm1 Pm 0.5000 0.5000 0.0000 1
```

[4]
A plane-wave DFT calculation with GGA-PBE was carried out for an optimized crystal structure of ZnMoP2.

Computed properties:
Its theoretical density is 6.0 Mg/m³. Its final energy is -5.7640 eV/atom. The volume is 15.50 A^3/atom. Its formation energy is -0.8 kcal/mol of atoms. Its space-group type is Pm.

Structure (CIF):
```
data_ZnMoP2
_space_group_name_H-M_alt 'P 1'
_space_group_IT_number 1
_space_group_name_Hall 'P 1'
_cell_length_a 4.4318
_cell_length_b 3.2650
_cell_length_c 4.5744
_cell_angle_alpha 69.48
_cell_angle_beta 90.00
_cell_angle_gamma 90.00
loop_
_atom_site_label
_atom_site_type_symbol
_atom_site_fract_x
_atom_site_fract_y
_atom_site_fract_z
_atom_site_occupancy
Zn1 Zn 0.0000 0.5336 0.5498 1
P1 P 0.5000 0.2218 0.1877 1
P2 P 0.0000 0.8132 0.0014 1
Mo1 Mo 0.5000 0.9314 0.7610 1
```

[5]
A plane-wave DFT calculation with GGA-PBE was carried out for an optimized crystal structure of PuNpPdRu.

Computed properties:
Its theoretical density is 16.7 Mg/m³. Its final energy is -10.6112 eV/atom. The volume is 17.15 A^3/atom. Its formation energy is -4.1 kcal/mol of atoms. Its space-group type is F-43m. The energy above the lowest structure with this stoichiometry is 0.00 kJ/mol of atoms.

Structure (CIF):
```
data_PuNpPdRu
_space_group_name_H-M_alt 'P 1'
_space_group_IT_number 1
_space_group_name_Hall 'P 1'
_cell_length_a 4.5953
_cell_length_b 4.5953
_cell_length_c 4.5953
_cell_angle_alpha 60.00
_cell_angle_beta 60.00
_cell_angle_gamma 60.00
loop_
_atom_site_label
_atom_site_type_symbol
_atom_site_fract_x
_atom_site_fract_y
_atom_site_fract_z
_atom_site_occupancy
Pd1 Pd 0.5000 0.5000 0.5000 1
Np1 Np 0.0000 0.0000 0.0000 1
Ru1 Ru 0.2500 0.2500 0.2500 1
Pu1 Pu 0.7500 0.7500 0.7500 1
```

[6]
A plane-wave DFT calculation with GGA-PBE was carried out for an optimized crystal structure of NdMgScAg.

Computed properties:
Its theoretical density is 5.4 Mg/m³. Its final energy is -3.9855 eV/atom. The volume is 24.78 A^3/atom. Its formation energy is -2.3 kcal/mol of atoms. Its space-group type is F-43m. The energy above the lowest structure with this stoichiometry is 4.58 kJ/mol of atoms.

Structure (CIF):
```
data_NdMgScAg
_space_group_name_H-M_alt 'P 1'
_space_group_IT_number 1
_space_group_name_Hall 'P 1'
_cell_length_a 5.1945
_cell_length_b 5.1945
_cell_length_c 5.1945
_cell_angle_alpha 60.00
_cell_angle_beta 60.00
_cell_angle_gamma 60.00
loop_
_atom_site_label
_atom_site_type_symbol
_atom_site_fract_x
_atom_site_fract_y
_atom_site_fract_z
_atom_site_occupancy
Ag1 Ag 0.2500 0.2500 0.2500 1
Sc1 Sc 0.5000 0.5000 0.5000 1
Mg1 Mg 0.7500 0.7500 0.7500 1
Nd1 Nd 0.0000 0.0000 0.0000 1
```

[7]
A plane-wave DFT calculation with GGA-PBE was carried out for an optimized crystal structure of PmIn2Hg.

Computed properties:
Its theoretical density is 9.0 Mg/m³. Its final energy is -2.8178 eV/atom. The volume is 26.53 A^3/atom. Its formation energy is -4.3 kcal/mol of atoms. Its space-group type is Fm-3m. The energy above the lowest structure with this stoichiometry is 23.79 kJ/mol of atoms.

Structure (CIF):
```
data_PmIn2Hg
_space_group_name_H-M_alt 'P 1'
_space_group_IT_number 1
_space_group_name_Hall 'P 1'
_cell_length_a 5.3142
_cell_length_b 5.3142
_cell_length_c 5.3142
_cell_angle_alpha 60.00
_cell_angle_beta 60.00
_cell_angle_gamma 60.00
loop_
_atom_site_label
_atom_site_type_symbol
_atom_site_fract_x
_atom_site_fract_y
_atom_site_fract_z
_atom_site_occupancy
In1 In 0.2500 0.2500 0.2500 1
In2 In 0.7500 0.7500 0.7500 1
Pm1 Pm 0.0000 0.0000 0.0000 1
Hg1 Hg 0.5000 0.5000 0.5000 1
```

[8]
A plane-wave DFT calculation with GGA-PBE was carried out for an optimized crystal structure of Ce3Zn2GaCu6.

Computed properties:
Its theoretical density is 7.6 Mg/m³. Its final energy is -4.0920 eV/atom. The volume is 18.29 A^3/atom. Its formation energy is -2.2 kcal/mol of atoms. Its space-group type is P-3m1.

Structure (CIF):
```
data_Ce3Zn2GaCu6
_space_group_name_H-M_alt 'P 1'
_space_group_IT_number 1
_space_group_name_Hall 'P 1'
_cell_length_a 5.0405
_cell_length_b 5.0405
_cell_length_c 9.9746
_cell_angle_alpha 90.00
_cell_angle_beta 90.00
_cell_angle_gamma 120.00
loop_
_atom_site_label
_atom_site_type_symbol
_atom_site_fract_x
_atom_site_fract_y
_atom_site_fract_z
_atom_site_occupancy
Zn1 Zn 0.3333 0.6667 0.8737 1
Zn2 Zn 0.6667 0.3333 0.1263 1
Ga1 Ga 0.0000 0.0000 0.5000 1
Cu1 Cu 0.1697 0.3393 0.2580 1
Cu2 Cu 0.3393 0.1697 0.7420 1
Cu3 Cu 0.8303 0.6607 0.7420 1
Cu4 Cu 0.6607 0.8303 0.2580 1
Cu5 Cu 0.1697 0.8303 0.2580 1
Cu6 Cu 0.8303 0.1697 0.7420 1
Ce1 Ce 0.6667 0.3333 0.4187 1
Ce2 Ce 0.3333 0.6667 0.5813 1
Ce3 Ce 0.0000 0.0000 0.0000 1
```

[9]
A plane-wave DFT calculation with GGA-PBE was carried out for an optimized crystal structure of NdSm5S8.

Computed properties:
Its theoretical density is 6.1 Mg/m³. Its final energy is -6.4059 eV/atom. The volume is 22.27 A^3/atom. The calculation puts the energy relative to the elements, uncorrected at -2021 meV/atom. Its space-group type is I-4.

Structure (CIF):
```
data_NdSm5S8
_space_group_name_H-M_alt 'P 1'
_space_group_IT_number 1
_space_group_name_Hall 'P 1'
_cell_length_a 7.4027
_cell_length_b 7.4027
_cell_length_c 7.4027
_cell_angle_alpha 108.16
_cell_angle_beta 112.13
_cell_angle_gamma 108.16
loop_
_atom_site_label
_atom_site_type_symbol
_atom_site_fract_x
_atom_site_fract_y
_atom_site_fract_z
_atom_site_occupancy
Sm1 Sm 0.5000 0.0000 0.5000 1
Sm2 Sm 0.0295 0.4037 0.1237 1
Sm3 Sm 0.8763 0.9058 0.2800 1
Sm4 Sm 0.3742 0.0942 0.9705 1
Sm5 Sm 0.7200 0.5963 0.6258 1
Nd1 Nd 0.2500 0.5000 0.7500 1
S1 S 0.1264 0.7574 0.0197 1
S2 S 0.2622 0.2426 0.3689 1
S3 S 0.7661 0.2561 0.3783 1
S4 S 0.6217 0.3878 0.8777 1
S5 S 0.4900 0.6122 0.2339 1
S6 S 0.1223 0.7439 0.5100 1
S7 S 0.6311 0.8933 0.8736 1
S8 S 0.9803 0.1067 0.7378 1
```

[10]
A plane-wave DFT calculation with GGA-PBE was carried out for an optimized crystal structure of FeBTeI2.

Computed properties:
Its theoretical density is 5.2 Mg/m³. Its final energy is -3.0143 eV/atom. The volume is 28.41 A^3/atom. The calculation puts the energy relative to the elements, uncorrected at 1262 meV/atom. Its space-group type is P4/mmm. The energy above the lowest structure with this stoichiometry is 11.91 kJ/mol of atoms.

Structure (CIF):
```
data_FeBTeI2
_space_group_name_H-M_alt 'P 1'
_space_group_IT_number 1
_space_group_name_Hall 'P 1'
_cell_length_a 5.4638
_cell_length_b 5.4638
_cell_length_c 4.7575
_cell_angle_alpha 90.00
_cell_angle_beta 90.00
_cell_angle_gamma 90.00
loop_
_atom_site_label
_atom_site_type_symbol
_atom_site_fract_x
_atom_site_fract_y
_atom_site_fract_z
_atom_site_occupancy
B1 B 0.5000 0.5000 0.5000 1
I1 I 0.5000 0.0000 0.0000 1
I2 I 0.0000 0.5000 0.0000 1
Te1 Te 0.0000 0.0000 0.5000 1
Fe1 Fe 0.0000 0.0000 0.0000 1
```

[11]
A plane-wave DFT calculation with GGA-PBE was carried out for an optimized crystal structure of NdSm4HoSe8.

Computed properties:
Its theoretical density is 5.7 Mg/m³. Its final energy is -5.7314 eV/atom. The volume is 31.93 A^3/atom. The calculation puts the energy relative to the elements, uncorrected at -1724 meV/atom. Its space-group type is R3m.

Structure (CIF):
```
data_NdSm4HoSe8
_space_group_name_H-M_alt 'P 1'
_space_group_IT_number 1
_space_group_name_Hall 'P 1'
_cell_length_a 8.5759
_cell_length_b 8.5759
_cell_length_c 8.5882
_cell_angle_alpha 60.05
_cell_angle_beta 60.05
_cell_angle_gamma 60.00
loop_
_atom_site_label
_atom_site_type_symbol
_atom_site_fract_x
_atom_site_fract_y
_atom_site_fract_z
_atom_site_occupancy
Sm1 Sm 0.0010 0.0010 0.5012 1
Sm2 Sm 0.0010 0.4969 0.5012 1
Sm3 Sm 0.6253 0.6253 0.1240 1
Sm4 Sm 0.4969 0.0010 0.5012 1
Se1 Se 0.2476 0.2476 0.7419 1
Se2 Se 0.7557 0.7557 0.2611 1
Se3 Se 0.7629 0.2476 0.7419 1
Se4 Se 0.7582 0.7582 0.7254 1
Se5 Se 0.2476 0.7629 0.7419 1
Se6 Se 0.2275 0.7557 0.2611 1
Se7 Se 0.2449 0.2449 0.2653 1
Se8 Se 0.7557 0.2275 0.2611 1
Ho1 Ho 0.3746 0.3746 0.8761 1
Nd1 Nd 0.0011 0.0011 0.9967 1
```

[12]
A plane-wave DFT calculation with GGA-PBE was carried out for an optimized crystal structure of Ni2TeAs.

Computed properties:
Its theoretical density is 8.0 Mg/m³. Its final energy is -4.3101 eV/atom. The volume is 16.64 A^3/atom. The calculation puts the energy relative to the elements, uncorrected at 528 meV/atom. Its space-group type is F-43m.

Structure (CIF):
```
data_Ni2TeAs
_space_group_name_H-M_alt 'P 1'
_space_group_IT_number 1
_space_group_name_Hall 'P 1'
_cell_length_a 4.5494
_cell_length_b 4.5494
_cell_length_c 4.5494
_cell_angle_alpha 60.00
_cell_angle_beta 60.00
_cell_angle_gamma 60.00
loop_
_atom_site_label
_atom_site_type_symbol
_atom_site_fract_x
_atom_site_fract_y
_atom_site_fract_z
_atom_site_occupancy
Te1 Te 0.7500 0.7500 0.7500 1
Ni1 Ni 0.2500 0.2500 0.2500 1
Ni2 Ni 0.0000 0.0000 0.0000 1
As1 As 0.5000 0.5000 0.5000 1
```